DFT (PBE) results for an optimized crystal structure of CeHo2Er7.

a b c (Å): 9.346 9.346 5.358
angles (deg): 90.00 90.00 124.93
Fractional positions:
Ce  0.000  0.000  0.000
Ho  0.297  0.703  0.500
Ho  0.703  0.297  0.500
Er  0.066  0.288  0.500
Er  0.203  0.797  0.000
Er  0.288  0.066  0.500
Er  0.500  0.500  0.500
Er  0.712  0.934  0.500
Er  0.797  0.203  0.000
Er  0.934  0.712  0.500

Summary:
magnetic moment = 1.28 μB per formula unit
VASP energy = -3.9639 eV per atom
DOS(E_F) = 1.90 states/eV per atom